(1)
DFT (PBE-GGA) results for a geometry-optimized RuPtN2O structure.

energy relative to the elements, uncorrected = 1.13 eV/atom
DFT total energy = -6.2529 eV per atom

a b c (Å): 3.948 3.948 3.720
angles (deg): 90.00 90.00 90.00
Sites, in units of the cell vectors:
Ru 0.000 0.000 0.000
O 0.000 0.000 0.500
Pt 0.500 0.500 0.500
N 0.000 0.500 0.000
N 0.500 0.000 0.000

(2)
DFT (PBE-GGA) results for a geometry-optimized KCr2Si structure.

energy relative to the elements, uncorrected = 1.19 eV/atom
DFT total energy = -5.2493 eV per atom

a b c (Å): 3.321 5.322 4.692
angles (deg): 90.00 90.00 90.00
Last column: magnetic moment on the atom in μB.
Sites, in units of the cell vectors:
Cr 0.000 0.000 0.000  3.92
Cr 0.500 0.500 0.000  3.54
K 0.500 0.000 0.500  0.04
Si 0.000 0.500 0.500  -0.17